A plane-wave DFT calculation with GGA-PBE was carried out for TbCe2AuN after structural relaxation.

extended XYZ file:
```
5
Lattice="4.826 0.000 0.000 0.000 4.826 0.000 0.000 0.000 4.823" Properties=species:S:1:pos:R:3 pbc="T T T"
Tb 0.000 0.000 0.000
Ce 0.000 2.413 2.411
Ce 2.413 0.000 2.411
Au 2.413 2.413 0.000
N 0.000 0.000 2.411
```

Calculated values
- space-group type = P4/mmm, No. 123
- calculated volume (A^3/atom) = 22.5
- DOS(E_F) (states/eV per atom) = 2.07
- uncorrected formation energy (eV per atom) = -0.81